The following is a PBE calculation of an optimized crystal structure of Sc3Mn, from Alexandria.

Computed properties:
- DOS at the Fermi energy: 4.19 states/eV/f.u.
- Uncorrected energy: -7.0048 eV per atom
- ΔE_f: 14 kJ/mol of formula units
- Space-group type: Pnma (62)

a b c (Å): 6.856 8.392 5.662
angles (deg): 90.00 90.00 90.00
Atoms (fractional coordinates):
Sc 0.044 0.250 0.126
Sc 0.177 0.063 0.648
Sc 0.177 0.437 0.648
Sc 0.323 0.563 0.148
Sc 0.323 0.937 0.148
Sc 0.456 0.750 0.626
Sc 0.544 0.250 0.374
Sc 0.677 0.063 0.852
Sc 0.677 0.437 0.852
Sc 0.823 0.563 0.352
Sc 0.823 0.937 0.352
Sc 0.956 0.750 0.874
Mn 0.117 0.750 0.449
Mn 0.383 0.250 0.949
Mn 0.617 0.750 0.051
Mn 0.883 0.250 0.551